No. 1
# Nd5Y2Sc2

Crystalline Nd5Y2Sc2 at its relaxed geometry (PBE, Alexandria via LeMat-Bulk).

Output
E: -48.352 eV/cell

a b c (Å): 3.4786 11.7787 10.1061
angles (deg): 45.67 80.09 81.51
With the nearest neighbours (Å) after each atom.
Fractional positions:
Nd1 0.3373 0.9856 0.3397  9 Nd 3.48-3.85, 2 Y 3.58, 1 Sc 3.65
Nd2 0.6627 0.0144 0.6603  9 Nd 3.48-3.85, 2 Y 3.58, 1 Sc 3.65
Nd3 0.2185 0.3541 0.2090  1 Y 3.29, 5 Nd 3.48-3.52, 3 Sc 3.55-3.65
Nd4 0.7815 0.6459 0.7910  1 Y 3.29, 5 Nd 3.48-3.52, 3 Sc 3.55-3.65
Nd5 0.0000 0.0000 0.0000  2 Y 3.34, 6 Nd 3.48-3.70, 4 Sc 3.65
Y1 0.0548 0.3387 0.5518  3 Y 3.14-3.48, 2 Nd 3.29-3.34, 4 Sc 3.47-3.48
Y2 0.9452 0.6613 0.4482  3 Y 3.14-3.48, 2 Nd 3.29-3.34, 4 Sc 3.47-3.48
Sc1 0.4022 0.3497 0.8459  4 Y 3.47-3.48, 2 Sc 3.48, 6 Nd 3.55-3.65
Sc2 0.5978 0.6503 0.1541  4 Y 3.47-3.48, 2 Sc 3.48, 6 Nd 3.55-3.65

---

No. 2
# Nd2Y3Sc

Crystalline Nd2Y3Sc at its relaxed geometry (PBE, Alexandria via LeMat-Bulk).

Output
E: -70.035 eV/cell
ΔE to the lowest computed polymorph: 0.0000 eV/atom

a b c (Å): 5.0154 10.1327 9.4124
angles (deg): 122.57 105.45 90.00
With the nearest neighbours (Å) after each atom.
Fractional positions:
Nd1 0.6622 0.6622 0.3245  2 Sc 3.50, 8 Y 3.52-3.64, 2 Nd 3.64
Nd2 0.3378 0.8378 0.6755  2 Sc 3.50, 8 Y 3.52-3.64, 2 Nd 3.64
Nd3 0.6622 0.1622 0.3245  2 Sc 3.50, 8 Y 3.52-3.64, 2 Nd 3.64
Nd4 0.3378 0.3378 0.6755  2 Sc 3.50, 8 Y 3.52-3.64, 2 Nd 3.64
Y1 0.5000 0.2500 0.0000  4 Nd 3.52, 4 Y 3.52, 4 Sc 3.56
Y2 0.5000 0.7500 0.0000  4 Nd 3.52, 4 Y 3.52, 4 Sc 3.56
Y3 0.1645 0.4145 0.3289  4 Y 3.52-3.59, 2 Sc 3.54, 6 Nd 3.56-3.64
Y4 0.8355 0.0855 0.6711  4 Y 3.52-3.59, 2 Sc 3.54, 6 Nd 3.56-3.64
Y5 0.8355 0.5855 0.6711  4 Y 3.52-3.59, 2 Sc 3.54, 6 Nd 3.56-3.64
Y6 0.1645 0.9145 0.3289  4 Y 3.52-3.59, 2 Sc 3.54, 6 Nd 3.56-3.64
Sc1 0.0000 0.5000 0.0000  4 Nd 3.50, 8 Y 3.54-3.56
Sc2 0.0000 0.0000 0.0000  4 Nd 3.50, 8 Y 3.54-3.56

---

No. 3
# NdY12Sc5

Crystalline NdY12Sc5 at its relaxed geometry (PBE, Alexandria via LeMat-Bulk).

Output
E: -112.181 eV/cell

a b c (Å): 11.7706 10.1813 5.5459
angles (deg): 90.02 90.03 54.69
With the nearest neighbours (Å) after each atom.
Fractional positions:
Nd1 0.0000 0.0000 0.0000  8 Y 3.43-3.57, 4 Sc 3.68
Y1 0.8094 0.0000 0.4996  4 Y 3.28-3.49, 3 Sc 3.30-3.64, 2 Nd 3.57
Y2 0.1906 0.0000 0.5004  4 Y 3.28-3.49, 3 Sc 3.30-3.64, 2 Nd 3.57
Y3 0.6600 0.0000 0.9996  4 Sc 3.20-3.35, 2 Y 3.28
Y4 0.3400 0.0000 0.0004  4 Sc 3.20-3.35, 2 Y 3.28
Y5 0.3288 0.6498 0.0002  3 Sc 3.35, 7 Y 3.37-3.72, 1 Nd 3.43
Y6 0.0213 0.6498 0.9998  3 Sc 3.35, 7 Y 3.37-3.72, 1 Nd 3.43
Y7 0.9787 0.3502 0.0002  3 Sc 3.35, 7 Y 3.37-3.72, 1 Nd 3.43
Y8 0.6712 0.3502 0.9998  3 Sc 3.35, 7 Y 3.37-3.72, 1 Nd 3.43
Y9 0.4717 0.3522 0.4999  4 Sc 3.29-3.43, 5 Y 3.44-3.63
Y10 0.8239 0.6478 0.4999  4 Sc 3.29-3.43, 5 Y 3.44-3.63
Y11 0.1761 0.3522 0.5001  4 Sc 3.29-3.43, 5 Y 3.44-3.63
Y12 0.5283 0.6478 0.5001  4 Sc 3.29-3.43, 5 Y 3.44-3.63
Sc1 0.5000 0.0000 0.5000  10 Y 3.35-3.64
Sc2 0.1460 0.7081 0.5000  8 Y 3.30-3.43, 2 Nd 3.68
Sc3 0.8540 0.2920 0.5000  8 Y 3.30-3.43, 2 Nd 3.68
Sc4 0.6554 0.6892 0.0000  8 Y 3.20-3.35
Sc5 0.3446 0.3108 0.0000  8 Y 3.20-3.35

---

No. 4
# Nd2YSc

Crystalline Nd2YSc at its relaxed geometry (PBE, Alexandria via LeMat-Bulk).

Output
E: -22.151 eV/cell
ΔE to the lowest computed polymorph: 0.0058 eV/atom

a b c (Å): 3.5681 3.5681 11.5826
angles (deg): 81.14 81.14 60.00
With the nearest neighbours (Å) after each atom.
Fractional positions:
Y1 0.5000 0.5000 0.5000  6 Y 3.57, 6 Nd 3.61
Sc1 0.0000 0.0000 0.0000  6 Nd 3.42, 6 Sc 3.57
Nd1 0.7465 0.7465 0.7604  3 Sc 3.42, 6 Nd 3.57, 3 Y 3.61
Nd2 0.2535 0.2535 0.2396  3 Sc 3.42, 6 Nd 3.57, 3 Y 3.61